# Be2ZnW

Be2ZnW after structural relaxation (PBE, the Alexandria database).

Calculated values
- density of states at the Fermi level (states/eV/atom) = 0.339
- space-group type = P4/mmm
- total moment (μB per atom) = 0.00

Lattice parameters (Å, degrees): 3.6957 3.6957 3.3900 90.00 90.00 90.00
With the nearest neighbours (Å) after each atom.
Sites, in units of the cell vectors:
Be 0.0000 0.0000 0.0000  4 W 2.51, 4 Zn 2.51, 4 Be 2.61
W 0.5000 0.0000 0.5000  8 Be 2.51, 4 Zn 2.61
Be 0.5000 0.5000 0.0000  4 W 2.51, 4 Zn 2.51, 4 Be 2.61
Zn 0.0000 0.5000 0.5000  8 Be 2.51, 4 W 2.61

# NdTlSn

NdTlSn after structural relaxation (PBE, the Alexandria database).

Calculated values
- density of states at the Fermi level (states/eV/atom) = 0.591
- excess energy over the best structure of this formula in the dataset (kJ per mole of atoms) = 0.0
- space-group type = Cmcm
- total moment (μB per atom) = 0.00

Lattice parameters (Å, degrees): 4.3372 4.7955 8.7468 105.91 90.00 90.00
With the nearest neighbours (Å) after each atom.
Sites, in units of the cell vectors:
Sn 0.7500 0.5646 0.1293  2 Sn 3.07, 4 Nd 3.26
Nd 0.7500 0.9085 0.8170  6 Sn 3.26-3.56, 4 Tl 3.43-3.60
Nd 0.2500 0.0915 0.1830  6 Sn 3.26-3.56, 4 Tl 3.43-3.60
Tl 0.2500 0.7375 0.4750  4 Tl 3.26, 4 Nd 3.43-3.60, 2 Sn 3.63
Tl 0.7500 0.2625 0.5250  4 Tl 3.26, 4 Nd 3.43-3.60, 2 Sn 3.63
Sn 0.2500 0.4354 0.8707  2 Sn 3.07, 4 Nd 3.26

ΔH_f (0 K) across the listed records, respectively: 0.031, -0.474 eV per atom.